[1]
The following is a PBE with a Hubbard U calculation of an optimized crystal structure of LaV2TeF, from Alexandria.

SG = P4/mmm (123)
DOS(E_F) = 0.551 states/eV/atom

abc: 4.534 4.534 5.530
angles: 90.00 90.00 90.00
Sites, in units of the cell vectors:
La1 0.000 0.000 0.000
V1 0.000 0.500 0.500
V2 0.500 0.000 0.500
Te1 0.500 0.500 0.000
F1 0.000 0.000 0.500

---

[2]
The following is a PBE with a Hubbard U calculation of an optimized crystal structure of LaTeW2F, from Alexandria.

SG = P4/mmm (123)
DOS(E_F) = 0.548 states/eV/atom

abc: 6.037 6.037 4.451
angles: 90.00 90.00 90.00
Sites, in units of the cell vectors:
La1 0.000 0.000 0.000
Te1 0.500 0.500 0.500
W1 0.000 0.500 0.000
W2 0.500 0.000 0.000
F1 0.000 0.000 0.500

---

| no. | E_tot (eV per cell) |
| --- | --- |
| 1 | -26.82 |
| 2 | -21.35 |